No. 1
First-principles (GGA-PBEsol) data for a relaxed InGaAs2 crystal, as listed in the Alexandria database.

Computed properties:
**ΔE_f**: 169 meV/atom
**SG**: No. 225
**Crystal system**: cubic
**Distance to the lowest polymorph of the same formula**: 1.70 eV/f.u.
**E**: -3.96 eV per atom

```
InGaAs2
1.0
0.0000 3.4103 3.4103
3.4103 0.0000 3.4103
3.4103 3.4103 0.0000
In Ga As
1 1 2
Cartesian
0.0000 0.0000 0.0000
3.4103 3.4103 3.4103
1.7052 1.7052 1.7052
5.1155 5.1155 5.1155
```

No. 2
First-principles (GGA-PBEsol) data for a relaxed MnBeRh2 crystal, as listed in the Alexandria database.

Computed properties:
**ΔE_f**: -152 meV/atom
**SG**: No. 99
**Crystal system**: tetragonal
**E**: -7.66 eV per atom

```
MnBeRh2
1.0
2.6707 0.0000 0.0000
0.0000 2.6707 0.0000
0.0000 0.0000 6.2847
Mn Be Rh
1 1 2
Cartesian
0.0000 0.0000 0.0000
1.3353 1.3353 4.9190
0.0000 0.0000 3.6001
1.3353 1.3353 1.6272
```

No. 3
First-principles (GGA-PBEsol) data for a relaxed PPb2Se crystal, as listed in the Alexandria database.

Computed properties:
**Formation energy without anion corrections**: 339 meV/atom
**SG**: No. 216
**Crystal system**: cubic
**Distance to the lowest polymorph of the same formula**: 1.83 eV/f.u.
**E**: -4.07 eV per atom

```
PPb2Se
1.0
0.0000 3.6108 3.6108
3.6108 0.0000 3.6108
3.6108 3.6108 0.0000
P Pb Se
1 2 1
Cartesian
0.0000 0.0000 0.0000
1.8054 1.8054 1.8054
3.6108 3.6108 3.6108
5.4162 5.4162 5.4162
```

No. 4
First-principles (GGA-PBEsol) data for a relaxed LaCu2Ni crystal, as listed in the Alexandria database.

Computed properties:
**ΔE_f**: -180 meV/atom
**SG**: No. 160
**Crystal system**: trigonal
**E**: -5.22 eV per atom

```
LaCu2Ni
1.0
2.0581 1.1883 4.7147
-2.0581 1.1883 4.7147
0.0000 -2.3765 4.7147
La Cu Ni
1 2 1
Cartesian
0.0000 0.0000 0.0000
0.0000 0.0000 7.1516
0.0000 0.0000 11.3362
0.0000 0.0000 2.8108
```

No. 5
First-principles (GGA-PBEsol) data for a relaxed Tl2F3 crystal, as listed in the Alexandria database.

Computed properties:
**Formation energy without anion corrections**: -1679 meV/atom
**SG**: No. 221
**Crystal system**: cubic
**E**: -3.89 eV per atom

```
Tl2F3
1.0
4.6207 0.0000 0.0000
0.0000 4.6207 0.0000
0.0000 0.0000 4.6207
Tl F
2 3
Cartesian
0.0000 0.0000 0.0000
2.3104 2.3104 2.3104
0.0000 0.0000 2.3104
0.0000 2.3104 0.0000
2.3104 0.0000 0.0000
```

No. 6
First-principles (GGA-PBEsol) data for a relaxed Ba2LiAl crystal, as listed in the Alexandria database.

Computed properties:
**ΔE_f**: 48 meV/atom
**SG**: No. 99
**Crystal system**: tetragonal
**E**: -2.54 eV per atom

```
Ba2LiAl
1.0
3.9537 0.0000 0.0000
0.0000 3.9537 0.0000
0.0000 0.0000 9.2275
Ba Li Al
2 1 1
Cartesian
0.0000 0.0000 0.0000
1.9769 1.9769 3.6007
0.0000 0.0000 5.9782
1.9769 1.9769 7.0526
```

No. 7
First-principles (GGA-PBEsol) data for a relaxed TeRuBr3 crystal, as listed in the Alexandria database.

Computed properties:
**Formation energy without anion corrections**: 1086 meV/atom
**SG**: No. 221
**Crystal system**: cubic
**E**: -2.78 eV per atom

```
TeRuBr3
1.0
5.5472 0.0000 0.0000
0.0000 5.5472 0.0000
0.0000 0.0000 5.5472
Te Ru Br
1 1 3
Cartesian
0.0000 0.0000 0.0000
2.7736 2.7736 2.7736
0.0000 0.0000 2.7736
0.0000 2.7736 0.0000
2.7736 0.0000 0.0000
```

No. 8
First-principles (GGA-PBEsol) data for a relaxed La2PPb crystal, as listed in the Alexandria database.

Computed properties:
**ΔE_f**: -702 meV/atom
**SG**: No. 119
**Crystal system**: tetragonal
**Distance to the lowest polymorph of the same formula**: 1.35 eV/f.u.
**E**: -5.82 eV per atom

```
La2PPb
1.0
-2.2250 2.2250 5.4441
2.2250 -2.2250 5.4441
2.2250 2.2250 -5.4441
La P Pb
2 1 1
Cartesian
0.0000 0.0000 0.0000
0.0000 2.2250 2.7221
0.0000 0.0000 5.4441
2.2250 0.0000 2.7221
```

No. 9
First-principles (GGA-PBEsol) data for a relaxed GeRh2Cl crystal, as listed in the Alexandria database.

Computed properties:
**Formation energy without anion corrections**: 138 meV/atom
**SG**: No. 225
**Crystal system**: cubic
**E**: -5.67 eV per atom

```
GeRh2Cl
1.0
0.0000 3.0568 3.0568
3.0568 0.0000 3.0568
3.0568 3.0568 0.0000
Ge Rh Cl
1 2 1
Cartesian
0.0000 0.0000 0.0000
1.5284 1.5284 1.5284
4.5852 4.5852 4.5852
3.0568 3.0568 3.0568
```

No. 10
First-principles (GGA-PBEsol) data for a relaxed Y3Zr crystal, as listed in the Alexandria database.

Computed properties:
**ΔE_f**: 79 meV/atom
**SG**: No. 123
**Crystal system**: tetragonal
**Distance to the lowest polymorph of the same formula**: 0.01 eV/f.u.
**E**: -7.31 eV per atom

```
Y3Zr
1.0
3.3886 0.0000 0.0000
0.0000 3.3886 0.0000
0.0000 0.0000 9.7276
Y Zr
3 1
Cartesian
0.0000 0.0000 0.0000
1.6943 1.6943 2.6160
1.6943 1.6943 7.1116
0.0000 0.0000 4.8638
```

No. 11
First-principles (GGA-PBEsol) data for a relaxed ZrWI3 crystal, as listed in the Alexandria database.

Computed properties:
**Formation energy without anion corrections**: 1073 meV/atom
**SG**: No. 221
**Crystal system**: cubic
**E**: -4.57 eV per atom

```
ZrWI3
1.0
5.6065 0.0000 0.0000
0.0000 5.6065 0.0000
0.0000 0.0000 5.6065
Zr W I
1 1 3
Cartesian
0.0000 0.0000 0.0000
2.8032 2.8032 2.8032
0.0000 0.0000 2.8032
0.0000 2.8032 0.0000
2.8032 0.0000 0.0000
```

No. 12
First-principles (GGA-PBEsol) data for a relaxed CaCd2AsCl crystal, as listed in the Alexandria database.

Computed properties:
**Formation energy without anion corrections**: -30 meV/atom
**SG**: No. 123
**Crystal system**: tetragonal
**E**: -2.36 eV per atom

```
CaCd2AsCl
1.0
5.2043 0.0000 0.0000
0.0000 5.2043 0.0000
0.0000 0.0000 5.0710
Ca Cd As Cl
1 2 1 1
Cartesian
0.0000 0.0000 0.0000
0.0000 2.6022 2.5355
2.6022 0.0000 2.5355
2.6022 2.6022 0.0000
0.0000 0.0000 2.5355
```

No. 13
First-principles (GGA-PBEsol) data for a relaxed MgTlIn2 crystal, as listed in the Alexandria database.

Computed properties:
**ΔE_f**: -34 meV/atom
**SG**: No. 25
**Crystal system**: orthorhombic
**E**: -2.61 eV per atom

```
MgTlIn2
1.0
3.3563 0.0000 0.0000
0.0000 4.4692 0.0000
0.0000 0.0000 6.6213
Mg Tl In
1 1 2
Cartesian
0.0000 0.0000 0.0000
1.6781 2.2346 1.6291
0.0000 0.0000 3.3818
1.6781 2.2346 5.0192
```

No. 14
First-principles (GGA-PBEsol) data for a relaxed ScNiPt2 crystal, as listed in the Alexandria database.

Computed properties:
**ΔE_f**: -739 meV/atom
**SG**: No. 119
**Crystal system**: tetragonal
**E**: -7.41 eV per atom

```
ScNiPt2
1.0
-1.9236 1.9236 3.9651
1.9236 -1.9236 3.9651
1.9236 1.9236 -3.9651
Sc Ni Pt
1 1 2
Cartesian
0.0000 0.0000 0.0000
0.0000 1.9236 1.9826
1.9236 0.0000 1.9826
0.0000 0.0000 3.9651
```